La2SmTh3S6 | PBE | optimized geometry

a b c (Å): 9.1329 9.1329 8.1398
angles (deg): 103.65 103.65 25.79
Sites, in units of the cell vectors:
La 0.1658 0.1658 0.3327
La 0.8342 0.8342 0.6673
Sm 0.5000 0.5000 0.0000
Th 0.1676 0.1676 0.8336
Th 0.5000 0.5000 0.5000
Th 0.8324 0.8324 0.1664
S 0.0024 0.0024 0.7541
S 0.3342 0.3342 0.4134
S 0.3352 0.3352 0.9218
S 0.6648 0.6648 0.0782
S 0.6658 0.6658 0.5866
S 0.9976 0.9976 0.2459

Output
DOS at the Fermi energy   8.14 states/eV/cell
Energy relative to the elements, uncorrected   -1967 meV/atom
SG   C2/m
VASP energy   -7.0998 eV/atom